Entry 1:
Density functional theory data (PBE-GGA) for a relaxed SmLu2N crystal.

D(E_F), states/eV per atom: 0.973
Final energy, eV per atom: -5.734
Space group: No. 123
Relative energy among the computed polymorphs, meV per atom: 523
ΔE_f (raw), meV per atom: -212

Lattice parameters (Å, degrees): 3.118 3.118 8.688 90.00 90.00 90.00
Fractional positions:
1 Lu 0.000 0.000 0.839
2 Lu 0.000 0.000 0.161
3 Sm 0.500 0.500 0.500
4 N 0.500 0.500 0.000

Entry 2:
Density functional theory data (PBE-GGA) for a relaxed PrErCuHg crystal.

D(E_F), states/eV per atom: 0.573
Final energy, eV per atom: -3.726
Space group: No. 216
DFT formation energy, eV per formula unit: -1.2

Lattice parameters (Å, degrees): 5.197 5.197 5.197 60.00 60.00 60.00
Fractional positions:
1 Cu 0.500 0.500 0.500
2 Hg 0.000 0.000 0.000
3 Pr 0.250 0.250 0.250
4 Er 0.750 0.750 0.750